{
  "formula": "ScCrPb2",
  "functional": "meta-GGA SCAN",
  "state": "PBEsol geometry",
  "cell": [[-3.766, -0.244, -0.565], [0.507, -3.218, -1.987], [-0.561, -3.274, 5.159]],
  "species": ["Cr", "Pb", "Pb", "Sc"],
  "fractional_positions": [[0.500, 0.500, 0.740], [0.000, 0.000, 0.978], [0.500, 0.500, 0.273], [0.000, 0.000, 0.509]],
  "space_group": "P4mm (99)",
  "density_g_cm3": 9.51,
  "m_tot_mub_per_cell": 3.60,
  "ef_mev_per_atom": -13
}